A plane-wave DFT calculation with PBE was carried out for a relaxed structure of MgAg4Au6.

Output
formation energy from the elements: -1.05 eV/f.u.
V: 18.5 Å³/atom
DFT total energy: -134.85 eV per cell

Cell lengths 4.879, 7.812, 21.384 Å; angles 90.00, 90.00, 90.00 degrees
Space group Cmcm (No. 63)
Symmetry-distinct sites (fractional):
1 Mg 0.000 0.245 0.250 x4
2 Ag 0.000 0.049 0.626 x8
3 Ag 0.000 0.353 0.546 x8
4 Au 0.000 0.000 0.000 x4
5 Au 0.000 0.102 0.750 x4
6 Au 0.000 0.298 0.092 x8
7 Au 0.000 0.421 0.682 x8